Density functional theory data (PBE with a Hubbard U) for an optimized crystal structure of AcCr2O6.

Cell lengths 10.8161, 10.9335, 5.9456 Å; angles 90.00, 108.97, 90.00 degrees
Closest atoms and distances in Å follow each position.
Space group C2/c (No. 15)
One atom of each set of equivalent atoms:
Ac1 0.0000 0.1269 0.2500  6 O 2.47-2.56
Cr1 0.1982 0.4274 0.2294  4 O 1.69-1.80
O1 0.1300 0.0487 0.6521  1 Cr 1.78
O2 0.1380 0.4903 0.4541  2 Cr 1.79-1.80
O3 0.1594 0.2772 0.1972  1 Cr 1.69

Computed properties:
**Energy**: -7.35 eV per atom
**V**: 664.9 Å³ per cell